Entry 1:
This record from Alexandria describes a relaxed CaYMg2Hg4 crystal. The functional is PBE-GGA.

abc: 8.8997 8.8997 8.8997
angles: 33.18 33.18 33.18
Positions (direct):
Ca (0.0000, 0.0000, 0.0000)
Y (0.5000, 0.5000, 0.5000)
Mg (0.2495, 0.2495, 0.2495)
Mg (0.7505, 0.7505, 0.7505)
Hg (0.1250, 0.1250, 0.1250)
Hg (0.3759, 0.3759, 0.3759)
Hg (0.6241, 0.6241, 0.6241)
Hg (0.8750, 0.8750, 0.8750)

## Properties
As for the crystal system: trigonal. For the formation enthalpy at 0 K, the calculation gives -42.74 kJ per mole of atoms. For the energy, the calculation gives -0.0754 hartree per atom. As for the space group: R-3m (166).

***

Entry 2:
This record from Alexandria describes a relaxed Sc3Be8Ni crystal. The functional is PBE-GGA.

abc: 8.1181 8.1181 8.1181
angles: 32.90 32.90 32.90
Positions (direct):
Sc (0.0000, 0.0000, 0.0000)
Sc (0.1257, 0.1257, 0.1257)
Sc (0.6170, 0.6170, 0.6170)
Be (0.0575, 0.0575, 0.5571)
Be (0.0575, 0.5571, 0.0575)
Be (0.0643, 0.5639, 0.5639)
Be (0.3072, 0.3072, 0.3072)
Be (0.5571, 0.0575, 0.0575)
Be (0.5639, 0.0643, 0.5639)
Be (0.5639, 0.5638, 0.0643)
Be (0.8122, 0.8122, 0.8122)
Ni (0.5006, 0.5006, 0.5006)

## Properties
As for the crystal system: trigonal. For the formation enthalpy at 0 K, the calculation gives -13.13 kJ per mole of atoms. For the energy, the calculation gives -0.1722 hartree per atom. As for the space group: R3m (160).